No. 1
{
  "formula": "PmPuBi",
  "functional": "GGA-PBE",
  "state": "optimized geometry",
  "lattice_angstrom": [[1.616, -0.797, 5.006], [-3.582, -0.688, 3.874], [-0.592, -4.782, 2.257]],
  "species": ["Bi", "Pm", "Pu"],
  "fractional_positions": [[0.500, 0.500, 0.500], [0.250, 0.250, 0.250], [0.000, 0.000, 0.000]],
  "total_magnetization_mub_per_cell": 7.60,
  "final_energy_ev_per_fu": -22.60
}

No. 2
{
  "formula": "KGdZnO3",
  "functional": "GGA-PBE",
  "state": "optimized geometry",
  "lattice_angstrom": [[-4.290, 1.043, 4.332], [2.083, -3.811, -4.404], [5.215, -4.316, 6.202]],
  "species": ["Gd", "Gd", "K", "K", "O", "O", "O", "O", "O", "O", "Zn", "Zn"],
  "fractional_positions": [[0.000, 0.000, 0.000], [0.000, 0.000, 0.500], [0.277, 0.723, 0.250], [0.723, 0.277, 0.750], [0.618, 0.382, 0.058], [0.958, 0.042, 0.250], [0.618, 0.382, 0.442], [0.382, 0.618, 0.558], [0.042, 0.958, 0.750], [0.382, 0.618, 0.942], [0.556, 0.444, 0.250], [0.444, 0.556, 0.750]],
  "total_magnetization_mub_per_cell": 0.01,
  "final_energy_ev_per_fu": -35.08
}

No. 3
{
  "formula": "CsGdSe4",
  "functional": "GGA-PBE",
  "state": "optimized geometry",
  "lattice_angstrom": [[-0.272, -2.148, -5.952], [2.694, -5.430, 1.836], [-8.196, -3.512, 1.642]],
  "species": ["Cs", "Cs", "Gd", "Gd", "Se", "Se", "Se", "Se", "Se", "Se", "Se", "Se"],
  "fractional_positions": [[0.000, 0.000, 0.000], [0.500, 0.500, 0.000], [0.000, 0.000, 0.500], [0.500, 0.500, 0.500], [0.636, 0.136, 0.309], [0.136, 0.364, 0.309], [0.864, 0.636, 0.309], [0.364, 0.864, 0.309], [0.364, 0.136, 0.691], [0.864, 0.364, 0.691], [0.136, 0.636, 0.691], [0.636, 0.864, 0.691]],
  "total_magnetization_mub_per_cell": 0.00,
  "final_energy_ev_per_fu": -26.50
}

No. 4
{
  "formula": "Zn2HgPb",
  "functional": "GGA-PBE",
  "state": "optimized geometry",
  "lattice_angstrom": [[-2.052, -4.414, 1.306], [-2.288, -0.494, 4.464], [-5.012, -0.481, 0.223]],
  "species": ["Hg", "Pb", "Zn", "Zn"],
  "fractional_positions": [[0.250, 0.250, 0.250], [0.500, 0.500, 0.500], [0.000, 0.000, 0.000], [0.750, 0.750, 0.750]],
  "final_energy_ev_per_fu": -5.62
}

No. 5
{
  "formula": "NaCoCuRe",
  "functional": "GGA-PBE",
  "state": "optimized geometry",
  "lattice_angstrom": [[3.655, -0.340, 2.136], [0.653, 2.348, 3.478], [0.060, -1.843, 3.826]],
  "species": ["Co", "Cu", "Na", "Re"],
  "fractional_positions": [[0.500, 0.500, 0.500], [0.000, 0.000, 0.000], [0.750, 0.750, 0.750], [0.250, 0.250, 0.250]],
  "total_magnetization_mub_per_cell": 0.02,
  "final_energy_ev_per_fu": -21.33
}

No. 6
{
  "formula": "NdHo2Ni2B2N3",
  "functional": "GGA-PBE",
  "state": "optimized geometry",
  "lattice_angstrom": [[-1.754, 1.754, 10.151], [1.754, -1.754, 10.151], [1.754, 1.754, -10.151]],
  "species": ["B", "B", "Ho", "Ho", "N", "N", "N", "Nd", "Ni", "Ni"],
  "fractional_positions": [[0.191, 0.191, 0.000], [0.809, 0.809, 0.000], [0.375, 0.375, 0.000], [0.625, 0.625, 0.000], [0.120, 0.120, 0.000], [0.500, 0.500, 0.000], [0.880, 0.880, 0.000], [0.000, 0.000, 0.000], [0.750, 0.250, 0.500], [0.250, 0.750, 0.500]],
  "total_magnetization_mub_per_cell": 0.01,
  "final_energy_ev_per_fu": -74.82
}

No. 7
{
  "formula": "RbTaBePd",
  "functional": "GGA-PBE",
  "state": "optimized geometry",
  "lattice_angstrom": [[1.236, -1.902, 4.274], [-1.363, 2.176, 4.101], [-3.374, -2.032, 2.811]],
  "species": ["Be", "Pd", "Rb", "Ta"],
  "fractional_positions": [[0.750, 0.750, 0.750], [0.250, 0.250, 0.250], [0.500, 0.500, 0.500], [0.000, 0.000, 0.000]],
  "total_magnetization_mub_per_cell": 0.03,
  "final_energy_ev_per_fu": -16.42
}

No. 8
{
  "formula": "YHo3Lu2Sb2Os",
  "functional": "GGA-PBE",
  "state": "optimized geometry",
  "lattice_angstrom": [[-0.155, -3.561, 2.203], [1.894, -4.206, -6.667], [5.926, 2.721, 4.817]],
  "species": ["Ho", "Ho", "Ho", "Lu", "Lu", "Os", "Sb", "Sb", "Y"],
  "fractional_positions": [[0.500, 0.242, 0.242], [0.500, 0.000, 0.762], [0.500, 0.762, 0.000], [0.000, 0.998, 0.387], [0.000, 0.387, 0.998], [0.000, 0.009, 0.009], [0.500, 0.666, 0.331], [0.500, 0.331, 0.666], [0.000, 0.605, 0.605]],
  "total_magnetization_mub_per_cell": 0.02,
  "final_energy_ev_per_fu": -54.58
}

No. 9
{
  "formula": "BaNdAg2As2",
  "functional": "GGA-PBE",
  "state": "optimized geometry",
  "lattice_angstrom": [[4.569, 0.000, 0.000], [-2.285, 3.957, 0.000], [0.000, 0.000, 8.471]],
  "species": ["Ag", "Ag", "As", "As", "Ba", "Nd"],
  "fractional_positions": [[0.667, 0.333, 0.536], [0.333, 0.667, 0.964], [0.333, 0.667, 0.519], [0.667, 0.333, 0.981], [0.000, 0.000, 0.250], [0.000, 0.000, 0.750]],
  "total_magnetization_mub_per_cell": 0.08,
  "final_energy_ev_per_fu": -26.16
}

No. 10
{
  "formula": "LaPrY",
  "functional": "GGA-PBE",
  "state": "optimized geometry",
  "lattice_angstrom": [[4.646, -2.100, 2.305], [0.375, -0.524, 5.558], [-0.090, -5.081, 2.343]],
  "species": ["La", "Pr", "Y"],
  "fractional_positions": [[0.250, 0.250, 0.250], [0.750, 0.750, 0.750], [0.000, 0.000, 0.000]],
  "total_magnetization_mub_per_cell": 0.01,
  "final_energy_ev_per_fu": -14.11,
  "ef_ev_per_atom": 0.69
}

No. 11
{
  "formula": "IrF",
  "functional": "GGA-PBE",
  "state": "optimized geometry",
  "lattice_angstrom": [[-2.193, 0.490, 2.477], [-3.141, -1.109, -0.303], [-1.046, -2.587, 1.844]],
  "species": ["F", "Ir"],
  "fractional_positions": [[0.000, 0.000, 0.000], [0.500, 0.500, 0.500]],
  "total_magnetization_mub_per_cell": 0.92,
  "final_energy_ev_per_fu": -8.37
}

No. 12
{
  "formula": "HfPdPb2",
  "functional": "GGA-PBE",
  "state": "optimized geometry",
  "lattice_angstrom": [[0.000, 3.598, 3.598], [3.598, 0.000, 3.598], [3.598, 3.598, 0.000]],
  "species": ["Hf", "Pb", "Pb", "Pd"],
  "fractional_positions": [[0.500, 0.500, 0.500], [0.000, 0.000, 0.000], [0.250, 0.250, 0.250], [0.750, 0.750, 0.750]],
  "total_magnetization_mub_per_cell": 0.00,
  "final_energy_ev_per_fu": -21.96
}